# YSe2NF, relaxed, DFT PBE-GGA
data_YSe2NF
_cell_length_a 5.671
_cell_length_b 5.671
_cell_length_c 4.476
_cell_angle_alpha 90.00
_cell_angle_beta 90.00
_cell_angle_gamma 90.00
_space_group_name_H-M_alt 'P 4/m m m'
_space_group_IT_number 123
_space_group_name_Hall '-P 4 2'
loop_
_atom_site_label
_atom_site_fract_x
_atom_site_fract_y
_atom_site_fract_z
Y1 0.000 0.000 0.000
Se1 0.000 0.500 0.000
N1 0.000 0.000 0.500
F1 0.500 0.500 0.500
# Polymorph energy (0 for the lowest one) ... 916 meV/atom
# Uncorrected formation energy ... 0.24 eV per atom
# DOS(E_F) ... 3.14 states/eV/f.u.


# YSeN2F, relaxed, DFT PBE-GGA
data_YSeN2F
_cell_length_a 4.227
_cell_length_b 4.227
_cell_length_c 3.942
_cell_angle_alpha 90.00
_cell_angle_beta 90.00
_cell_angle_gamma 90.00
_space_group_name_H-M_alt 'P 4/m m m'
_space_group_IT_number 123
_space_group_name_Hall '-P 4 2'
loop_
_atom_site_label
_atom_site_fract_x
_atom_site_fract_y
_atom_site_fract_z
Y1 0.000 0.000 0.000
Se1 0.500 0.500 0.000
N1 0.000 0.500 0.500
F1 0.500 0.500 0.500
# Polymorph energy (0 for the lowest one) ... 905 meV/atom
# Uncorrected formation energy ... 0.75 eV per atom
# DOS(E_F) ... 2.53 states/eV/f.u.


# YSeNF2, relaxed, DFT PBE-GGA
data_YSeNF2
_cell_length_a 4.247
_cell_length_b 4.247
_cell_length_c 5.054
_cell_angle_alpha 90.00
_cell_angle_beta 90.00
_cell_angle_gamma 90.00
_space_group_name_H-M_alt 'P 4/m m m'
_space_group_IT_number 123
_space_group_name_Hall '-P 4 2'
loop_
_atom_site_label
_atom_site_fract_x
_atom_site_fract_y
_atom_site_fract_z
Y1 0.000 0.000 0.000
Se1 0.500 0.500 0.500
N1 0.000 0.000 0.500
F1 0.000 0.500 0.000
# Polymorph energy (0 for the lowest one) ... 0 meV/atom
# Uncorrected formation energy ... -1.38 eV per atom
# DOS(E_F) ... 3.95 states/eV/f.u.


# YSeN2F, relaxed, DFT PBE-GGA
data_YSeN2F
_cell_length_a 4.040
_cell_length_b 4.040
_cell_length_c 4.045
_cell_angle_alpha 90.00
_cell_angle_beta 90.00
_cell_angle_gamma 90.00
_space_group_name_H-M_alt 'P 4/m m m'
_space_group_IT_number 123
_space_group_name_Hall '-P 4 2'
loop_
_atom_site_label
_atom_site_fract_x
_atom_site_fract_y
_atom_site_fract_z
Y1 0.000 0.000 0.000
Se1 0.500 0.500 0.500
N1 0.000 0.500 0.500
F1 0.500 0.500 0.000
# Polymorph energy (0 for the lowest one) ... 0 meV/atom
# Uncorrected formation energy ... -0.15 eV per atom
# DOS(E_F) ... 1.92 states/eV/f.u.


# YSeN2F, relaxed, DFT PBE-GGA
data_YSeN2F
_cell_length_a 4.568
_cell_length_b 4.568
_cell_length_c 4.180
_cell_angle_alpha 90.00
_cell_angle_beta 90.00
_cell_angle_gamma 90.00
_space_group_name_H-M_alt 'P 4/m m m'
_space_group_IT_number 123
_space_group_name_Hall '-P 4 2'
loop_
_atom_site_label
_atom_site_fract_x
_atom_site_fract_y
_atom_site_fract_z
Y1 0.000 0.000 0.000
Se1 0.500 0.500 0.500
N1 0.000 0.500 0.000
F1 0.000 0.000 0.500
# Polymorph energy (0 for the lowest one) ... 321 meV/atom
# Uncorrected formation energy ... 0.17 eV per atom
# DOS(E_F) ... 3.71 states/eV/f.u.


# YSeN2F, relaxed, DFT PBE-GGA
data_YSeN2F
_cell_length_a 4.606
_cell_length_b 4.606
_cell_length_c 5.832
_cell_angle_alpha 90.00
_cell_angle_beta 90.00
_cell_angle_gamma 90.00
_space_group_name_H-M_alt 'P 4/m m m'
_space_group_IT_number 123
_space_group_name_Hall '-P 4 2'
loop_
_atom_site_label
_atom_site_fract_x
_atom_site_fract_y
_atom_site_fract_z
Y1 0.000 0.000 0.000
Se1 0.000 0.000 0.500
N1 0.000 0.500 0.000
F1 0.500 0.500 0.500
# Polymorph energy (0 for the lowest one) ... 927 meV/atom
# Uncorrected formation energy ... 0.78 eV per atom
# DOS(E_F) ... 2.33 states/eV/f.u.


# YSe2NF, relaxed, DFT PBE-GGA
data_YSe2NF
_cell_length_a 4.257
_cell_length_b 4.257
_cell_length_c 4.782
_cell_angle_alpha 90.00
_cell_angle_beta 90.00
_cell_angle_gamma 90.00
_space_group_name_H-M_alt 'P 4/m m m'
_space_group_IT_number 123
_space_group_name_Hall '-P 4 2'
loop_
_atom_site_label
_atom_site_fract_x
_atom_site_fract_y
_atom_site_fract_z
Y1 0.000 0.000 0.000
Se1 0.000 0.500 0.500
N1 0.000 0.000 0.500
F1 0.500 0.500 0.000
# Polymorph energy (0 for the lowest one) ... 0 meV/atom
# Uncorrected formation energy ... -0.68 eV per atom
# DOS(E_F) ... 1.42 states/eV/f.u.


# YSeNF2, relaxed, DFT PBE-GGA
data_YSeNF2
_cell_length_a 4.629
_cell_length_b 4.629
_cell_length_c 3.754
_cell_angle_alpha 90.00
_cell_angle_beta 90.00
_cell_angle_gamma 90.00
_space_group_name_H-M_alt 'P 4/m m m'
_space_group_IT_number 123
_space_group_name_Hall '-P 4 2'
loop_
_atom_site_label
_atom_site_fract_x
_atom_site_fract_y
_atom_site_fract_z
Y1 0.000 0.000 0.000
Se1 0.500 0.500 0.500
N1 0.500 0.500 0.000
F1 0.000 0.500 0.500
# Polymorph energy (0 for the lowest one) ... 748 meV/atom
# Uncorrected formation energy ... -0.63 eV per atom
# DOS(E_F) ... 2.29 states/eV/f.u.


# YSe2NF, relaxed, DFT PBE-GGA
data_YSe2NF
_cell_length_a 4.502
_cell_length_b 4.502
_cell_length_c 4.291
_cell_angle_alpha 90.00
_cell_angle_beta 90.00
_cell_angle_gamma 90.00
_space_group_name_H-M_alt 'P 4/m m m'
_space_group_IT_number 123
_space_group_name_Hall '-P 4 2'
loop_
_atom_site_label
_atom_site_fract_x
_atom_site_fract_y
_atom_site_fract_z
Y1 0.000 0.000 0.000
Se1 0.000 0.500 0.500
N1 0.500 0.500 0.000
F1 0.500 0.500 0.500
# Polymorph energy (0 for the lowest one) ... 800 meV/atom
# Uncorrected formation energy ... 0.12 eV per atom
# DOS(E_F) ... 2.70 states/eV/f.u.


# ZnSeN2F, relaxed, DFT PBE-GGA
data_ZnSeN2F
_cell_length_a 3.795
_cell_length_b 3.795
_cell_length_c 5.850
_cell_angle_alpha 90.00
_cell_angle_beta 90.00
_cell_angle_gamma 90.00
_space_group_name_H-M_alt 'P 4/m m m'
_space_group_IT_number 123
_space_group_name_Hall '-P 4 2'
loop_
_atom_site_label
_atom_site_fract_x
_atom_site_fract_y
_atom_site_fract_z
Zn1 0.000 0.000 0.000
Se1 0.000 0.000 0.500
N1 0.000 0.500 0.000
F1 0.500 0.500 0.500
# Polymorph energy (0 for the lowest one) ... 496 meV/atom
# Uncorrected formation energy ... 1.45 eV per atom
# DOS(E_F) ... 2.72 states/eV/f.u.


# ZnSeNF2, relaxed, DFT PBE-GGA
data_ZnSeNF2
_cell_length_a 3.656
_cell_length_b 3.656
_cell_length_c 6.217
_cell_angle_alpha 90.00
_cell_angle_beta 90.00
_cell_angle_gamma 90.00
_space_group_name_H-M_alt 'P 4/m m m'
_space_group_IT_number 123
_space_group_name_Hall '-P 4 2'
loop_
_atom_site_label
_atom_site_fract_x
_atom_site_fract_y
_atom_site_fract_z
Zn1 0.000 0.000 0.000
Se1 0.500 0.500 0.500
N1 0.000 0.000 0.500
F1 0.000 0.500 0.000
# Polymorph energy (0 for the lowest one) ... 0 meV/atom
# Uncorrected formation energy ... -0.15 eV per atom
# DOS(E_F) ... 2.66 states/eV/f.u.


# ZnSeN2F, relaxed, DFT PBE-GGA
data_ZnSeN2F
_cell_length_a 3.885
_cell_length_b 3.885
_cell_length_c 4.088
_cell_angle_alpha 90.00
_cell_angle_beta 90.00
_cell_angle_gamma 90.00
_space_group_name_H-M_alt 'P 4/m m m'
_space_group_IT_number 123
_space_group_name_Hall '-P 4 2'
loop_
_atom_site_label
_atom_site_fract_x
_atom_site_fract_y
_atom_site_fract_z
Zn1 0.000 0.000 0.000
Se1 0.500 0.500 0.500
N1 0.000 0.500 0.500
F1 0.500 0.500 0.000
# Polymorph energy (0 for the lowest one) ... 0 meV/atom
# Uncorrected formation energy ... 0.95 eV per atom
# DOS(E_F) ... 1.34 states/eV/f.u.